First-principles (PBE-GGA) data for a geometry-optimized Pr4IrSBr2 structure, as listed in Alexandria via LeMat-Bulk.

space group: No. 10
energy relative to the elements, uncorrected: -1.33 eV per atom
V: 231 Å³ per cell

Lattice parameters (Å, degrees): 4.0988 7.4601 7.9373 107.55 90.00 90.00
Positions (direct):
S 0.0000 0.0000 0.0000
Br 0.5000 0.0000 0.5000
Br 0.0000 0.5000 0.5000
Pr 0.5000 0.7668 0.7974
Pr 0.0000 0.2813 0.7978
Pr 0.0000 0.7187 0.2022
Pr 0.5000 0.2332 0.2026
Ir 0.5000 0.5000 0.0000